[1]
Compound: NaHfReMo
Source: OQMD via LeMat-Bulk
Functional: PBE-GGA
Structure: relaxed

Cell: 6.5185 6.5185 6.5185 Å, 90.00 90.00 90.00°
Last column: nearest neighbours and their distance in Å.
Space group F-43m (No. 216)
Symmetry-distinct sites (fractional):
1 Na 0.0000 0.0000 0.0000  4 Mo 2.82, 4 Hf 2.82
2 Hf 0.2500 0.2500 0.2500  4 Na 2.82, 4 Re 2.82
3 Re 0.0000 0.0000 0.5000  4 Hf 2.82, 4 Mo 2.82
4 Mo 0.2500 0.2500 0.7500  4 Re 2.82, 4 Na 2.82

[2]
Compound: NaHfReMo
Source: OQMD via LeMat-Bulk
Functional: PBE-GGA
Structure: relaxed

Cell: 6.5643 6.5643 6.5643 Å, 90.00 90.00 90.00°
Last column: nearest neighbours and their distance in Å.
Space group F-43m (No. 216)
Symmetry-distinct sites (fractional):
1 Na 0.0000 0.0000 0.0000  4 Mo 2.84, 4 Re 2.84
2 Hf 0.0000 0.0000 0.5000  4 Mo 2.84, 4 Re 2.84
3 Re 0.2500 0.2500 0.2500  4 Hf 2.84, 4 Na 2.84
4 Mo 0.2500 0.2500 0.7500  4 Hf 2.84, 4 Na 2.84

no.,energy above the lowest structure with this stoichiometry (meV/atom),calculated density (g/cm³)
1,0,11.60
2,448,11.36